KTiCuS2 after structural relaxation. Source: the Alexandria database, functional GGA-PBE.

Geometry as POSCAR:
```
KTiCuS2
1.0
2.919 -6.958 0.000
2.919 6.958 0.000
0.000 0.000 5.284
K Ti Cu S
2 2 2 4
Cartesian
2.919 3.479 4.079
2.919 -3.479 1.205
1.459 0.000 2.642
4.378 0.000 2.642
0.000 0.000 0.000
2.919 0.000 0.000
2.919 5.393 1.512
2.919 1.565 1.512
2.919 -1.565 3.773
2.919 -5.393 3.773
```

Values from the calculation:
Fermi-level density of states (states/eV/cell): 6.1
ΔE_f (raw) (eV/atom): -0.913